1.
Computed, not measured: a relaxed structure of ZrCoHgAs at the GGA-PBE level of DFT.

The structure in POSCAR format:
```
ZrCoHgAs
1.0
0.0000 3.2796 3.2796
3.2796 0.0000 3.2796
3.2796 3.2796 0.0000
As Co Hg Zr
1 1 1 1
Direct
0.0000 0.0000 0.0000
0.7500 0.7500 0.7500
0.5000 0.5000 0.5000
0.2500 0.2500 0.2500
```

* spin magnetization: 0.0 μB per formula unit
* excess energy over the best structure of this formula in the dataset: 0 meV/atom
* ρ: 10.0 Mg/m³


2.
Computed, not measured: a relaxed structure of InCoAs at the GGA-PBE level of DFT.

The structure in POSCAR format:
```
InCoAs
1.0
0.0000 2.9850 2.9850
2.9850 0.0000 2.9850
2.9850 2.9850 0.0000
In Co As
1 1 1
Direct
0.7500 0.7500 0.7500
0.0000 0.0000 0.0000
0.2500 0.2500 0.2500
```

* final energy: -14.463 eV/cell
* spin magnetization: 0.0 μB per formula unit
* ρ: 7.8 Mg/m³


3.
Computed, not measured: a relaxed structure of CoAs2Ir at the GGA-PBE level of DFT.

The structure in POSCAR format:
```
CoAs2Ir
1.0
0.0000 3.1170 3.1170
3.1170 0.0000 3.1170
3.1170 3.1170 0.0000
Co As Ir
1 2 1
Direct
0.2500 0.2500 0.2500
0.0000 0.0000 0.0000
0.7500 0.7500 0.7500
0.5000 0.5000 0.5000
```

* final energy: -23.219 eV/cell
* spin magnetization: 2.0 μB per formula unit
* ρ: 11.0 Mg/m³


4.
Computed, not measured: a relaxed structure of CoAsIr at the GGA-PBE level of DFT.

The structure in POSCAR format:
```
CoAsIr
1.0
0.0000 2.8049 2.8049
2.8049 0.0000 2.8049
2.8049 2.8049 0.0000
Co As Ir
1 1 1
Direct
0.2500 0.2500 0.2500
0.0000 0.0000 0.0000
0.7500 0.7500 0.7500
```

* final energy: -20.794 eV/cell
* spin magnetization: 0.0 μB per formula unit
* ρ: 12.3 Mg/m³


5.
Computed, not measured: a relaxed structure of KCoAs2Ir at the GGA-PBE level of DFT.

The structure in POSCAR format:
```
KCoAs2Ir
1.0
3.4958 -4.9473 4.3116
-1.8643 -4.5490 5.5783
-1.3940 2.7537 -6.7646
Co Ir As K
1 1 2 1
Direct
0.0000 0.0000 0.0000
0.5000 0.5000 0.0000
0.8981 0.3981 0.5000
0.6019 0.1019 0.5000
0.2500 0.7500 0.5000
```

* final energy: -28.471 eV/cell
* spin magnetization: 0.0 μB per formula unit
* ρ: 6.9 Mg/m³


- What is the formula in the third record?
  CoAs2Ir